Ho3Sb2P after structural relaxation, computed with GGA-PBE.

Structure (POSCAR):
```
Ho3Sb2P
1.0
-3.3197 -1.3798 2.2763
0.1423 -3.7256 -2.0507
7.2034 -0.6661 6.1245
Ho Sb P
3 2 1
Cartesian
3.3279 -5.3579 5.5595
-0.5465 -3.1363 1.2575
3.1747 -1.8061 3.5136
1.2032 -0.6759 1.3238
1.4247 -4.2664 3.4475
4.9165 -2.8048 5.4470
```

## Properties
E_form (uncorrected): -1.220 eV per atom
uncorrected energy: -0.4252 Ry/atom
total moment: 0.000 μB per atom


HfRe2P2 after structural relaxation, computed with GGA-PBE.

Structure (POSCAR):
```
HfRe2P2
1.0
4.1789 0.0000 0.0000
0.0000 4.1789 0.0000
2.0895 2.0895 4.4469
P Re Hf
2 2 1
Cartesian
4.1789 4.1789 3.3359
2.0895 2.0895 1.1110
2.0895 4.1789 2.2234
4.1789 2.0895 2.2234
0.0000 0.0000 0.0000
```

## Properties
energy of formation: -0.476 eV/atom
uncorrected energy: -0.7063 Ry/atom
total moment: 0.000 μB per atom
energy above the lowest structure with this stoichiometry: 0 meV per atom